Below is Ac4PrSm5 after structural relaxation, with properties calculated at the PBE level.

Geometry as POSCAR:
```
Ac4PrSm5
1.0
9.6217 -2.7085 0.0000
9.6217 2.7085 0.0000
-1.7044 0.0000 7.3134
Ac Pr Sm
4 1 5
direct
0.0982 0.0982 0.3036 Ac
0.2999 0.2999 0.8984 Ac
0.7001 0.7001 0.1016 Ac
0.9018 0.9018 0.6964 Ac
0.5000 0.5000 0.5000 Pr
0.0991 0.0991 0.7996 Sm
0.3014 0.3014 0.3998 Sm
0.5000 0.5000 0.0000 Sm
0.6986 0.6986 0.6002 Sm
0.9009 0.9009 0.2004 Sm
```

Values from the calculation:
**E_form**: 0.034 eV per atom

---

Below is Ac3Pr2Sm6 after structural relaxation, with properties calculated at the PBE level.

Geometry as POSCAR:
```
Ac3Pr2Sm6
1.0
3.1198 -5.9376 0.0000
3.1198 5.9376 0.0000
-1.7223 0.0000 11.3265
Ac Pr Sm
3 2 6
direct
0.0000 0.0000 0.0000 Ac
0.3280 0.6720 0.0000 Ac
0.6720 0.3280 0.0000 Ac
0.3595 0.6405 0.5000 Pr
0.6405 0.3595 0.5000 Pr
0.0903 0.7776 0.2894 Sm
0.2224 0.9097 0.7106 Sm
0.4151 0.4151 0.2423 Sm
0.5849 0.5849 0.7577 Sm
0.7776 0.0903 0.2894 Sm
0.9097 0.2224 0.7106 Sm
```

Values from the calculation:
**E_form**: 0.177 eV per atom

---

Below is AcPr8Sm2 after structural relaxation, with properties calculated at the PBE level.

Geometry as POSCAR:
```
AcPr8Sm2
1.0
8.5155 -3.4675 0.0000
8.5155 3.4675 0.0000
-1.1027 0.0000 6.8948
Ac Pr Sm
1 8 2
direct
0.0000 0.0000 0.0000 Ac
0.1774 0.6403 0.5750 Pr
0.2381 0.2381 0.2916 Pr
0.3597 0.8226 0.4250 Pr
0.4073 0.4073 0.0811 Pr
0.5927 0.5927 0.9189 Pr
0.6403 0.1774 0.5750 Pr
0.7619 0.7619 0.7084 Pr
0.8226 0.3597 0.4250 Pr
0.2104 0.2104 0.7915 Sm
0.7896 0.7896 0.2085 Sm
```

Values from the calculation:
**E_form**: 0.149 eV per atom
**Energy relative to the lowest polymorph listed for this composition**: 39 meV/atom

---

Below is Ac6Pr8Sm after structural relaxation, with properties calculated at the PBE level.

Geometry as POSCAR:
```
Ac6Pr8Sm
1.0
5.1524 2.9748 6.4744
-5.1524 2.9748 6.4744
0.0000 -5.9495 6.4744
Ac Pr Sm
6 8 1
direct
0.1699 0.4310 0.6229 Ac
0.3771 0.8301 0.5690 Ac
0.4310 0.6229 0.1699 Ac
0.5690 0.3771 0.8301 Ac
0.6229 0.1699 0.4310 Ac
0.8301 0.5690 0.3771 Ac
0.0460 0.8733 0.3721 Pr
0.1267 0.6279 0.9540 Pr
0.2292 0.2292 0.2292 Pr
0.3721 0.0460 0.8733 Pr
0.6279 0.9540 0.1267 Pr
0.7708 0.7708 0.7708 Pr
0.8733 0.3721 0.0460 Pr
0.9540 0.1267 0.6279 Pr
0.0000 0.0000 0.0000 Sm
```

Values from the calculation:
**E_form**: 0.106 eV per atom

---

Below is Ac3Pr5Sm2 after structural relaxation, with properties calculated at the PBE level.

Geometry as POSCAR:
```
Ac3Pr5Sm2
1.0
5.6053 -7.5216 0.0000
5.6053 7.5216 0.0000
-5.4214 0.0000 9.2227
Ac Pr Sm
6 10 4
direct
0.0080 0.9920 0.7500 Ac
0.2208 0.4738 0.4471 Ac
0.4738 0.2208 0.9471 Ac
0.5262 0.7792 0.0529 Ac
0.7792 0.5262 0.5529 Ac
0.9920 0.0080 0.2500 Ac
0.1308 0.3881 0.7604 Pr
0.2296 0.7704 0.7500 Pr
0.2595 0.7405 0.2500 Pr
0.3881 0.1308 0.2604 Pr
0.4748 0.5252 0.2500 Pr
0.5252 0.4748 0.7500 Pr
0.6119 0.8692 0.7396 Pr
0.7405 0.2595 0.7500 Pr
0.7704 0.2296 0.2500 Pr
0.8692 0.6119 0.2396 Pr
0.0273 0.2970 0.0629 Sm
0.2970 0.0273 0.5629 Sm
0.7030 0.9727 0.4371 Sm
0.9727 0.7030 0.9371 Sm
```

Values from the calculation:
**E_form**: 0.189 eV per atom

---

Below is Ac7PrSm4 after structural relaxation, with properties calculated at the PBE level.

Geometry as POSCAR:
```
Ac7PrSm4
1.0
6.7358 0.0000 0.0000
0.0093 7.7201 0.0000
2.2070 0.0510 9.3440
Ac Pr Sm
7 1 4
direct
0.0000 0.0000 0.0000 Ac
0.2206 0.4998 0.3324 Ac
0.2826 0.7556 0.6618 Ac
0.4974 0.2474 0.9949 Ac
0.5026 0.7526 0.0051 Ac
0.7174 0.2444 0.3382 Ac
0.7794 0.5002 0.6676 Ac
0.0000 0.5000 0.0000 Pr
0.2166 0.0002 0.3354 Sm
0.2736 0.2469 0.6674 Sm
0.7264 0.7531 0.3326 Sm
0.7834 0.9998 0.6646 Sm
```

Values from the calculation:
**E_form**: 0.037 eV per atom

---

Below is Ac5Pr4Sm4 after structural relaxation, with properties calculated at the PBE level.

Geometry as POSCAR:
```
Ac5Pr4Sm4
1.0
-6.8619 6.8619 2.6760
6.8619 -6.8619 2.6760
6.8619 6.8619 -2.6760
Ac Pr Sm
5 4 4
direct
0.0000 0.0000 0.0000 Ac
0.3028 0.5389 0.8417 Ac
0.4611 0.3028 0.7639 Ac
0.5389 0.6972 0.2361 Ac
0.6972 0.4611 0.1583 Ac
0.0747 0.3859 0.4606 Pr
0.3859 0.9253 0.3112 Pr
0.6141 0.0747 0.6888 Pr
0.9253 0.6141 0.5394 Pr
0.1566 0.7655 0.9221 Sm
0.2345 0.1566 0.3911 Sm
0.7655 0.8434 0.6089 Sm
0.8434 0.2345 0.0779 Sm
```

Values from the calculation:
**E_form**: 0.039 eV per atom

---

Below is Ac3Pr5Sm after structural relaxation, with properties calculated at the PBE level.

Geometry as POSCAR:
```
Ac3Pr5Sm
1.0
-4.6405 4.6405 8.1675
4.6405 -4.6405 8.1675
4.6405 4.6405 -8.1675
Ac Pr Sm
6 10 2
direct
0.1263 0.6263 0.7526 Ac
0.2500 0.2500 0.0000 Ac
0.3737 0.1263 0.5000 Ac
0.6263 0.8737 0.5000 Ac
0.7500 0.7500 0.0000 Ac
0.8737 0.3737 0.2474 Ac
0.0000 0.0000 0.0000 Pr
0.0585 0.1573 0.5000 Pr
0.1573 0.6573 0.0988 Pr
0.3427 0.4415 0.5000 Pr
0.4415 0.9415 0.0988 Pr
0.5000 0.5000 0.0000 Pr
0.5585 0.0585 0.9012 Pr
0.6573 0.5585 0.5000 Pr
0.8427 0.3427 0.9012 Pr
0.9415 0.8427 0.5000 Pr
0.2500 0.7500 0.5000 Sm
0.7500 0.2500 0.5000 Sm
```

Values from the calculation:
**E_form**: 0.291 eV per atom

---

Below is Ac2Pr3Sm6 after structural relaxation, with properties calculated at the PBE level.

Geometry as POSCAR:
```
Ac2Pr3Sm6
1.0
-2.4402 2.4402 17.8439
2.4402 -2.4402 17.8439
2.4402 2.4402 -17.8439
Ac Pr Sm
2 3 6
direct
0.0494 0.0494 0.0000 Ac
0.9506 0.9506 0.0000 Ac
0.2965 0.2965 0.0000 Pr
0.5000 0.5000 0.0000 Pr
0.7035 0.7035 0.0000 Pr
0.1273 0.6273 0.5000 Sm
0.1989 0.1989 0.0000 Sm
0.3727 0.8727 0.5000 Sm
0.6273 0.1273 0.5000 Sm
0.8011 0.8011 0.0000 Sm
0.8727 0.3727 0.5000 Sm
```

Values from the calculation:
**E_form**: 0.253 eV per atom
**Energy relative to the lowest polymorph listed for this composition**: 80 meV/atom

---

Below is Ac2Pr6Sm after structural relaxation, with properties calculated at the PBE level.

Geometry as POSCAR:
```
Ac2Pr6Sm
1.0
3.7726 0.0000 0.0000
-1.8863 3.2671 0.0000
0.0000 0.0000 27.9130
Ac Pr Sm
2 6 1
direct
0.0000 0.0000 0.1717 Ac
0.0000 0.0000 0.8283 Ac
0.0000 0.0000 0.3943 Pr
0.0000 0.0000 0.6057 Pr
0.6667 0.3333 0.0617 Pr
0.6667 0.3333 0.2872 Pr
0.6667 0.3333 0.7128 Pr
0.6667 0.3333 0.9383 Pr
0.6667 0.3333 0.5000 Sm
```

Values from the calculation:
**E_form**: 0.074 eV per atom

---

Below is Ac6Pr3Sm2 after structural relaxation, with properties calculated at the PBE level.

Geometry as POSCAR:
```
Ac6Pr3Sm2
1.0
6.6765 0.0000 0.0000
-2.2117 8.3164 0.0000
-1.0967 -2.9382 8.0227
Ac Pr Sm
6 3 2
direct
0.0528 0.1811 0.4041 Ac
0.1364 0.5487 0.2314 Ac
0.3209 0.2664 0.8691 Ac
0.6791 0.7336 0.1309 Ac
0.8636 0.4513 0.7686 Ac
0.9472 0.8189 0.5959 Ac
0.4071 0.6430 0.6848 Pr
0.5000 0.0000 0.5000 Pr
0.5929 0.3570 0.3152 Pr
0.2314 0.9122 0.0466 Sm
0.7686 0.0878 0.9534 Sm
```

Values from the calculation:
**E_form**: 0.035 eV per atom

---

Below is Ac2Pr5Sm12 after structural relaxation, with properties calculated at the PBE level.

Geometry as POSCAR:
```
Ac2Pr5Sm12
1.0
6.3093 -3.6932 0.0000
6.3093 3.6932 0.0000
-4.5369 0.0000 14.6412
Ac Pr Sm
2 5 12
direct
0.2501 0.7499 0.0000 Ac
0.7499 0.2501 0.0000 Ac
0.0000 0.0000 0.5000 Pr
0.2501 0.2501 0.0004 Pr
0.4012 0.4012 0.4064 Pr
0.5988 0.5988 0.5936 Pr
0.7499 0.7499 0.9996 Pr
0.0924 0.5662 0.6057 Sm
0.1580 0.6680 0.2161 Sm
0.1606 0.1606 0.2020 Sm
0.3320 0.8420 0.7839 Sm
0.3436 0.3436 0.8023 Sm
0.4338 0.9076 0.3943 Sm
0.5662 0.0924 0.6057 Sm
0.6564 0.6564 0.1977 Sm
0.6680 0.1580 0.2161 Sm
0.8394 0.8394 0.7980 Sm
0.8420 0.3320 0.7839 Sm
0.9076 0.4338 0.3943 Sm
```

Values from the calculation:
**E_form**: 0.112 eV per atom
**Energy relative to the lowest polymorph listed for this composition**: 7 meV/atom